A plane-wave DFT calculation with GGA-PBE was carried out for a geometry-optimized Sc2BeSb2 structure.

Values from the calculation:
Excess energy over the best structure of this formula in the dataset in meV per atom: 92
Raw formation energy in eV/atom: -0.2514
V in A^3/atom: 22.08

POSCAR file:
```
Sc2BeSb2
1.0
7.3318 0.0000 0.0000
0.0000 7.3318 0.0000
0.0000 0.0000 4.1084
Sc Be Sb
4 2 4
Cartesian
1.1213 2.5446 0.0000 Sc
2.5446 6.2106 0.0000 Sc
4.7872 1.1213 0.0000 Sc
6.2106 4.7872 0.0000 Sc
0.0000 0.0000 0.0000 Be
3.6659 3.6659 0.0000 Be
1.1823 4.8482 2.0542 Sb
2.4837 1.1823 2.0542 Sb
4.8482 6.1496 2.0542 Sb
6.1496 2.4837 2.0542 Sb
```